VASP calculation (PBE) on crystalline U3SbC3 at its relaxed geometry.

Properties
Symmetry ... R-3 (148)
Formation energy from raw total energies ... 0.041 eV/atom

Unit cell a=8.275 b=8.275 c=8.275 alpha=47.65 beta=47.65 gamma=47.65
Positions (direct):
U  0.061  0.397  0.734
U  0.266  0.939  0.603
U  0.397  0.734  0.061
U  0.603  0.266  0.939
U  0.734  0.061  0.397
U  0.939  0.603  0.266
Sb  0.167  0.167  0.167
Sb  0.833  0.833  0.833
C  0.039  0.706  0.373
C  0.294  0.627  0.961
C  0.373  0.039  0.706
C  0.627  0.961  0.294
C  0.706  0.373  0.039
C  0.961  0.294  0.627

=====

VASP calculation (PBE) on crystalline TcPOs2 at its relaxed geometry.

Properties
Symmetry ... Immm (71)
Formation energy ... -0.0776 eV/atom

Unit cell a=5.143 b=5.143 c=5.143 alpha=147.86 beta=130.26 gamma=60.47
Positions (direct):
Tc  0.000  0.000  0.000
P  0.500  0.500  0.000
Os  0.286  0.786  0.500
Os  0.714  0.214  0.500

=====

no.,magnetization (μB per formula unit)
1,3.04
2,0.00